No. 1
# Er6ZnSe3S2 (PBE-GGA, optimized geometry)
# ρ ... 8.371 g/cm3
# Crystal system ... monoclinic
# Formation energy (no corrections) ... -18.88 eV per formula unit
# Energy ... -5.520 eV per atom
data_Er6ZnSe3S2
_cell_length_a 6.8960
_cell_length_b 6.8960
_cell_length_c 6.9810
_cell_angle_alpha 99.46
_cell_angle_beta 99.46
_cell_angle_gamma 119.93
_space_group_name_H-M_alt 'P 1'
_space_group_IT_number 1
loop_
_space_group_symop_operation_xyz
'x,y,z'
loop_
_atom_site_label
_atom_site_type_symbol
_atom_site_fract_x
_atom_site_fract_y
_atom_site_fract_z
Se1 Se 0.1685 0.8315 0.5000
Er1 Er 0.4103 0.0774 0.2337
Se2 Se 0.5000 0.5000 0.5000
Se3 Se 0.8315 0.1685 0.5000
Er2 Er 0.0774 0.4103 0.2337
Er3 Er 0.7452 0.7452 0.2333
Er4 Er 0.2548 0.2548 0.7667
S1 S 0.6660 0.3340 0.0000
Er5 Er 0.5897 0.9226 0.7663
S2 S 0.3340 0.6660 0.0000
Zn1 Zn 0.0000 0.0000 0.0000
Er6 Er 0.9226 0.5897 0.7663



No. 2
# Er4ZnSeS2 (PBE-GGA, optimized geometry)
# ρ ... 8.244 g/cm3
# Crystal system ... monoclinic
# Formation energy (no corrections) ... -11.70 eV per formula unit
# Energy ... -5.371 eV per atom
data_Er4ZnSeS2
_cell_length_a 3.8689
_cell_length_b 6.9372
_cell_length_c 6.9363
_cell_angle_alpha 71.70
_cell_angle_beta 90.00
_cell_angle_gamma 90.00
_space_group_name_H-M_alt 'P 1'
_space_group_IT_number 1
loop_
_space_group_symop_operation_xyz
'x,y,z'
loop_
_atom_site_label
_atom_site_type_symbol
_atom_site_fract_x
_atom_site_fract_y
_atom_site_fract_z
Er1 Er 0.5000 0.2432 0.7503
Er2 Er 0.5000 0.7568 0.2497
S1 S 0.0000 0.0000 0.0000
Se1 Se 0.5000 0.5000 0.0000
S2 S 0.5000 0.0000 0.5000
Zn1 Zn 0.0000 0.5000 0.5000
Er3 Er 0.0000 0.2389 0.2607
Er4 Er 0.0000 0.7611 0.7393



No. 3
# Er4ZnSe2S (PBE-GGA, optimized geometry)
# ρ ... 8.365 g/cm3
# Crystal system ... monoclinic
# Formation energy (no corrections) ... -11.33 eV per formula unit
# Energy ... -5.245 eV per atom
data_Er4ZnSe2S
_cell_length_a 3.9136
_cell_length_b 7.0059
_cell_length_c 7.0515
_cell_angle_alpha 108.34
_cell_angle_beta 90.00
_cell_angle_gamma 90.00
_space_group_name_H-M_alt 'P 1'
_space_group_IT_number 1
loop_
_space_group_symop_operation_xyz
'x,y,z'
loop_
_atom_site_label
_atom_site_type_symbol
_atom_site_fract_x
_atom_site_fract_y
_atom_site_fract_z
Er1 Er 0.5000 0.7536 0.7596
Zn1 Zn 0.0000 0.0000 0.0000
S1 S 0.5000 0.5000 0.0000
Er2 Er 0.0000 0.2552 0.7657
Se1 Se 0.5000 0.0000 0.5000
Se2 Se 0.0000 0.5000 0.5000
Er3 Er 0.0000 0.7448 0.2343
Er4 Er 0.5000 0.2464 0.2404



No. 4
# Er6ZnSe2S3 (PBE-GGA, optimized geometry)
# ρ ... 8.295 g/cm3
# Crystal system ... monoclinic
# Formation energy (no corrections) ... -19.17 eV per formula unit
# Energy ... -5.598 eV per atom
data_Er6ZnSe2S3
_cell_length_a 6.8927
_cell_length_b 6.8927
_cell_length_c 6.8256
_cell_angle_alpha 99.68
_cell_angle_beta 99.68
_cell_angle_gamma 119.87
_space_group_name_H-M_alt 'P 1'
_space_group_IT_number 1
loop_
_space_group_symop_operation_xyz
'x,y,z'
loop_
_atom_site_label
_atom_site_type_symbol
_atom_site_fract_x
_atom_site_fract_y
_atom_site_fract_z
Er1 Er 0.5892 0.9144 0.7428
Er2 Er 0.9144 0.5892 0.7428
Se1 Se 0.3347 0.6653 0.0000
Er3 Er 0.7628 0.7628 0.2602
Se2 Se 0.6653 0.3347 0.0000
S1 S 0.1721 0.8279 0.5000
Zn1 Zn 0.0000 0.0000 0.0000
Er4 Er 0.4108 0.0856 0.2572
S2 S 0.5000 0.5000 0.5000
Er5 Er 0.0856 0.4108 0.2572
Er6 Er 0.2372 0.2372 0.7398
S3 S 0.8279 0.1721 0.5000



No. 5
# Er3SiS2 (PBE-GGA, optimized geometry)
# ρ ... 7.529 g/cm3
# Crystal system ... orthorhombic
# Formation energy (no corrections) ... -9.72 eV per formula unit
# Polymorph energy (0 for the lowest one) ... 0 meV/atom
# Energy ... -6.181 eV per atom
data_Er3SiS2
_cell_length_a 3.9663
_cell_length_b 5.5816
_cell_length_c 6.8359
_cell_angle_alpha 114.10
_cell_angle_beta 106.84
_cell_angle_gamma 90.00
_space_group_name_H-M_alt 'P 1'
_space_group_IT_number 1
loop_
_space_group_symop_operation_xyz
'x,y,z'
loop_
_atom_site_label
_atom_site_type_symbol
_atom_site_fract_x
_atom_site_fract_y
_atom_site_fract_z
Si1 Si 0.5000 0.0000 0.0000
Er1 Er 0.8350 0.8349 0.6698
Er2 Er 0.1650 0.1651 0.3302
S1 S 0.8323 0.3328 0.6656
Er3 Er 0.5000 0.5000 0.0000
S2 S 0.1677 0.6672 0.3344



No. 6
# Er2SiS (PBE-GGA, optimized geometry)
# ρ ... 7.865 g/cm3
# Crystal system ... orthorhombic
# Formation energy (no corrections) ... -5.58 eV per formula unit
# Polymorph energy (0 for the lowest one) ... 0 meV/atom
# Energy ... -6.063 eV per atom
data_Er2SiS
_cell_length_a 3.8589
_cell_length_b 4.0249
_cell_length_c 10.9170
_cell_angle_alpha 100.62
_cell_angle_beta 90.00
_cell_angle_gamma 90.00
_space_group_name_H-M_alt 'P 1'
_space_group_IT_number 1
loop_
_space_group_symop_operation_xyz
'x,y,z'
loop_
_atom_site_label
_atom_site_type_symbol
_atom_site_fract_x
_atom_site_fract_y
_atom_site_fract_z
S1 S 0.7500 0.8074 0.6147
S2 S 0.2500 0.1926 0.3853
Er1 Er 0.2500 0.3215 0.6430
Si1 Si 0.2500 0.4596 0.9192
Er2 Er 0.7500 0.6785 0.3570
Er3 Er 0.7500 0.9336 0.8671
Er4 Er 0.2500 0.0664 0.1329
Si2 Si 0.7500 0.5404 0.0808



No. 7
# Er3SiS6 (PBE-GGA, optimized geometry)
# ρ ... 5.419 g/cm3
# Crystal system ... orthorhombic
# Formation energy (no corrections) ... -15.94 eV per formula unit
# Energy ... -5.982 eV per atom
data_Er3SiS6
_cell_length_a 6.3919
_cell_length_b 8.4173
_cell_length_c 8.4173
_cell_angle_alpha 102.19
_cell_angle_beta 90.00
_cell_angle_gamma 90.00
_space_group_name_H-M_alt 'P 1'
_space_group_IT_number 1
loop_
_space_group_symop_operation_xyz
'x,y,z'
loop_
_atom_site_label
_atom_site_type_symbol
_atom_site_fract_x
_atom_site_fract_y
_atom_site_fract_z
S1 S 0.6517 0.9546 0.0454
S2 S 0.6885 0.2122 0.7878
Er1 Er 0.4854 0.2777 0.0872
S3 S 0.1867 0.6978 0.6266
Si1 Si 0.0282 0.2025 0.7975
Si2 Si 0.5282 0.7975 0.2025
S4 S 0.1517 0.0454 0.9546
S5 S 0.6867 0.3022 0.3734
S6 S 0.6867 0.6266 0.6978
S7 S 0.1925 0.1042 0.5720
Er2 Er 0.3877 0.4069 0.5931
S8 S 0.1867 0.3734 0.3022
S9 S 0.6925 0.8958 0.4280
Er3 Er 0.9854 0.0872 0.2777
Er4 Er 0.4854 0.9128 0.7223
Er5 Er 0.8877 0.5931 0.4069
S10 S 0.1885 0.7878 0.2122
Er6 Er 0.9854 0.7223 0.9128
S11 S 0.6925 0.5720 0.1042
S12 S 0.1925 0.4280 0.8958



No. 8
# Er7SiS5 (PBE-GGA, optimized geometry)
# ρ ... 8.027 g/cm3
# Crystal system ... orthorhombic
# Formation energy (no corrections) ... -21.44 eV per formula unit
# Energy ... -6.111 eV per atom
data_Er7SiS5
_cell_length_a 3.8899
_cell_length_b 6.6085
_cell_length_c 22.8892
_cell_angle_alpha 90.01
_cell_angle_beta 90.00
_cell_angle_gamma 107.12
_space_group_name_H-M_alt 'P 1'
_space_group_IT_number 1
loop_
_space_group_symop_operation_xyz
'x,y,z'
loop_
_atom_site_label
_atom_site_type_symbol
_atom_site_fract_x
_atom_site_fract_y
_atom_site_fract_z
S1 S 0.7254 0.4509 0.5713
S2 S 0.0005 0.0009 0.0000
Er1 Er 0.3623 0.7247 0.5369
S3 S 0.0001 0.0002 0.5000
S4 S 0.2748 0.5497 0.4287
Er2 Er 0.6383 0.2766 0.0369
Er3 Er 0.0937 0.1874 0.6150
Er4 Er 0.6379 0.2758 0.4631
Er5 Er 0.1883 0.3765 0.1786
Er6 Er 0.8125 0.6250 0.8214
S5 S 0.7257 0.4514 0.9287
Er7 Er 0.8124 0.6248 0.6786
S6 S 0.5487 0.0974 0.3578
Er8 Er 0.4681 0.9362 0.2500
Er9 Er 0.5325 0.0650 0.7500
Er10 Er 0.9070 0.8140 0.1150
Er11 Er 0.0938 0.1877 0.8850
S7 S 0.5490 0.0981 0.1422
S8 S 0.2752 0.5504 0.0713
S9 S 0.4516 0.9033 0.6422
Er12 Er 0.1880 0.3759 0.3214
S10 S 0.4518 0.9035 0.8578
Si1 Si 0.8056 0.6112 0.2501
Er13 Er 0.9066 0.8132 0.3849
Er14 Er 0.3626 0.7252 0.9631
Si2 Si 0.1950 0.3900 0.7500